No. 1
## Pm2AlAgSe5 (PBE-GGA)

Data for an optimized crystal structure of Pm2AlAgSe5.

a b c (Å): 9.3740 9.3740 11.8356
angles (deg): 90.00 90.00 155.17
Last column: nearest neighbours and their distance in Å.
Sites, in units of the cell vectors:
1 Pm 0.1180 0.8820 0.5000  8 Se 2.99-3.24
2 Pm 0.1263 0.8737 0.1184  7 Se 2.90-3.19
3 Pm 0.8737 0.1263 0.6184  7 Se 2.90-3.19
4 Pm 0.8820 0.1180 0.0000  8 Se 2.99-3.24
5 Al 0.4281 0.5719 0.2739  4 Se 2.39-2.46
6 Al 0.5719 0.4281 0.7739  4 Se 2.39-2.46
7 Ag 0.2228 0.7772 0.8398  5 Se 2.65-2.94
8 Ag 0.7772 0.2228 0.3398  5 Se 2.65-2.94
9 Se 0.0418 0.9582 0.8830  2 Al 2.46
10 Se 0.2905 0.7095 0.4972  2 Ag 2.76, 2 Pm 2.90
11 Se 0.3164 0.6836 0.1688  1 Al 2.39
12 Se 0.3668 0.6332 0.8146  1 Ag 2.65
13 Se 0.4970 0.5030 0.0990  1 Al 2.42
14 Se 0.5030 0.4970 0.5990  1 Al 2.42
15 Se 0.6332 0.3668 0.3146  1 Ag 2.65
16 Se 0.6836 0.3164 0.6688  1 Al 2.39
17 Se 0.7095 0.2905 0.9972  2 Ag 2.76, 2 Pm 2.90
18 Se 0.9582 0.0418 0.3830  2 Al 2.46

Properties
uncorrected energy: -89.8 eV/cell

=====

No. 2
## Pm2SmAl2Ag2 (PBE-GGA)

Data for an optimized crystal structure of Pm2SmAl2Ag2.

a b c (Å): 9.4904 9.4904 9.4904
angles (deg): 28.68 28.68 28.68
Last column: nearest neighbours and their distance in Å.
Sites, in units of the cell vectors:
1 Pm 0.1269 0.1269 0.1269  3 Al 3.12, 3 Ag 3.21, 1 Sm 3.46, 3 Pm 3.48
2 Pm 0.8731 0.8731 0.8731  3 Al 3.12, 3 Ag 3.21, 1 Sm 3.46, 3 Pm 3.48
3 Sm 0.0000 0.0000 0.0000  6 Ag 3.23, 6 Al 3.33, 2 Pm 3.46
4 Al 0.2626 0.2626 0.2626  3 Ag 2.72
5 Al 0.7374 0.7374 0.7374  3 Ag 2.72
6 Ag 0.3976 0.3976 0.3976  3 Al 2.72
7 Ag 0.6024 0.6024 0.6024  3 Al 2.72

Properties
uncorrected energy: -29.4 eV/cell
E_form: -27.8 kJ/mol of atoms
density of states at the Fermi level: 0.8038 states/eV per atom

=====

No. 3
## PmAlAgSn (PBE-GGA)

Data for an optimized crystal structure of PmAlAgSn.

a b c (Å): 5.0772 5.0772 5.0772
angles (deg): 60.00 60.00 60.00
Last column: nearest neighbours and their distance in Å.
Sites, in units of the cell vectors:
1 Pm 0.0000 0.0000 0.0000  4 Al 3.11, 4 Ag 3.11
2 Al 0.2500 0.2500 0.2500  4 Sn 3.11, 4 Pm 3.11
3 Ag 0.7500 0.7500 0.7500  4 Sn 3.11, 4 Pm 3.11
4 Sn 0.5000 0.5000 0.5000  4 Al 3.11, 4 Ag 3.11

Properties
uncorrected energy: -16.1 eV/cell
E_form: -18.6 kJ/mol of atoms
density of states at the Fermi level: 0.6661 states/eV per atom

=====

No. 4
## SrPmAlAg (PBE-GGA)

Data for an optimized crystal structure of SrPmAlAg.

a b c (Å): 5.4072 5.4072 5.4072
angles (deg): 60.00 60.00 60.00
Last column: nearest neighbours and their distance in Å.
Sites, in units of the cell vectors:
1 Sr 0.0000 0.0000 0.0000  4 Al 3.31, 4 Ag 3.31
2 Pm 0.5000 0.5000 0.5000  4 Al 3.31, 4 Ag 3.31
3 Al 0.7500 0.7500 0.7500  4 Pm 3.31, 4 Sr 3.31
4 Ag 0.2500 0.2500 0.2500  4 Pm 3.31, 4 Sr 3.31

Properties
uncorrected energy: -13.8 eV/cell
E_form: -19.3 kJ/mol of atoms
density of states at the Fermi level: 0.9872 states/eV per atom

=====

No. 5
## TbPmAlAg (PBE-GGA)

Data for an optimized crystal structure of TbPmAlAg.

a b c (Å): 5.2351 5.2351 5.2351
angles (deg): 60.00 60.00 60.00
Last column: nearest neighbours and their distance in Å.
Sites, in units of the cell vectors:
1 Tb 0.0000 0.0000 0.0000  4 Al 3.21, 4 Ag 3.21
2 Pm 0.5000 0.5000 0.5000  4 Ag 3.21, 4 Al 3.21
3 Al 0.2500 0.2500 0.2500  4 Pm 3.21, 4 Tb 3.21
4 Ag 0.7500 0.7500 0.7500  4 Pm 3.21, 4 Tb 3.21

Properties
uncorrected energy: -17.2 eV/cell
E_form: -30.1 kJ/mol of atoms
density of states at the Fermi level: 1.0940 states/eV per atom
relative energy among the computed polymorphs: 30 meV/atom

=====

No. 6
## TbPmAlAg (PBE-GGA)

Data for an optimized crystal structure of TbPmAlAg.

a b c (Å): 3.6014 3.6014 7.6741
angles (deg): 90.00 90.00 90.00
Last column: nearest neighbours and their distance in Å.
Sites, in units of the cell vectors:
1 Tb 0.0000 0.0000 0.0000  4 Ag 3.11, 4 Al 3.15
2 Pm 0.0000 0.0000 0.4960  4 Al 3.21, 4 Ag 3.29
3 Al 0.5000 0.5000 0.2419  4 Tb 3.15, 4 Pm 3.21
4 Ag 0.5000 0.5000 0.7677  4 Tb 3.11, 4 Pm 3.29

Properties
uncorrected energy: -17.3 eV/cell
E_form: -33.0 kJ/mol of atoms
density of states at the Fermi level: 0.9049 states/eV per atom
relative energy among the computed polymorphs: 0 meV/atom

=====

No. 7
## PmAlAg2Te4 (PBE-GGA)

Data for an optimized crystal structure of PmAlAg2Te4.

a b c (Å): 8.6360 8.6360 8.6360
angles (deg): 122.85 116.38 90.76
Last column: nearest neighbours and their distance in Å.
Sites, in units of the cell vectors:
1 Pm 0.0000 0.0000 0.0000  6 Te 3.14-3.15
2 Pm 0.5000 0.0000 0.5000  6 Te 3.14-3.15
3 Al 0.5000 0.0000 0.0000  4 Te 2.82
4 Al 0.5000 0.5000 0.5000  4 Te 2.82
5 Ag 0.0000 0.0000 0.5000  2 Te 2.85
6 Ag 0.0000 0.5000 0.0000  2 Te 2.85
7 Ag 0.0000 0.5000 0.5000  6 Te 2.96-3.02
8 Ag 0.5000 0.5000 0.0000  6 Te 2.96-3.02
9 Te 0.2351 0.2457 0.5106  3 Ag 2.85-3.02, 2 Pm 3.14
10 Te 0.2351 0.7245 0.9894  3 Ag 2.85-3.02, 2 Pm 3.14
11 Te 0.2822 0.7423 0.5399  2 Al 2.82, 1 Ag 2.96, 1 Pm 3.15
12 Te 0.2976 0.2577 0.0399  2 Al 2.82, 1 Ag 2.96, 1 Pm 3.15
13 Te 0.7024 0.7423 0.9601  2 Al 2.82, 1 Ag 2.96, 1 Pm 3.15
14 Te 0.7178 0.2577 0.4601  2 Al 2.82, 1 Ag 2.96, 1 Pm 3.15
15 Te 0.7649 0.2755 0.0106  3 Ag 2.85-3.02, 2 Pm 3.14
16 Te 0.7649 0.7543 0.4894  3 Ag 2.85-3.02, 2 Pm 3.14

Properties
uncorrected energy: -61.3 eV/cell
density of states at the Fermi level: 0.1097 states/eV per atom

=====

No. 8
## PmThAlAg (PBE-GGA)

Data for an optimized crystal structure of PmThAlAg.

a b c (Å): 5.2898 5.2898 5.2898
angles (deg): 60.00 60.00 60.00
Last column: nearest neighbours and their distance in Å.
Sites, in units of the cell vectors:
1 Pm 0.0000 0.0000 0.0000  4 Al 3.24, 4 Ag 3.24
2 Th 0.5000 0.5000 0.5000  4 Al 3.24, 4 Ag 3.24
3 Al 0.7500 0.7500 0.7500  4 Th 3.24, 4 Pm 3.24
4 Ag 0.2500 0.2500 0.2500  4 Th 3.24, 4 Pm 3.24

Properties
uncorrected energy: -19.5 eV/cell
E_form: -17.6 kJ/mol of atoms
density of states at the Fermi level: 1.3358 states/eV per atom

=====

No. 9
## PmAlTlAg (PBE-GGA)

Data for an optimized crystal structure of PmAlTlAg.

a b c (Å): 5.0971 5.0971 5.0971
angles (deg): 60.00 60.00 60.00
Last column: nearest neighbours and their distance in Å.
Sites, in units of the cell vectors:
1 Pm 0.0000 0.0000 0.0000  4 Tl 3.12, 4 Ag 3.12
2 Al 0.5000 0.5000 0.5000  4 Tl 3.12, 4 Ag 3.12
3 Tl 0.7500 0.7500 0.7500  4 Pm 3.12, 4 Al 3.12
4 Ag 0.2500 0.2500 0.2500  4 Al 3.12, 4 Pm 3.12

Properties
uncorrected energy: -14.4 eV/cell
E_form: -16.4 kJ/mol of atoms
density of states at the Fermi level: 0.3305 states/eV per atom

=====

No. 10
## PmYAlAg (PBE-GGA)

Data for an optimized crystal structure of PmYAlAg.

a b c (Å): 3.5953 3.5953 7.6825
angles (deg): 90.00 90.00 90.00
Last column: nearest neighbours and their distance in Å.
Sites, in units of the cell vectors:
1 Pm 0.0000 0.0000 0.0000  4 Al 3.21, 4 Ag 3.29, 4 Pm 3.60
2 Y 0.0000 0.0000 0.5032  4 Ag 3.11, 4 Al 3.15
3 Al 0.5000 0.5000 0.7447  4 Y 3.15, 4 Pm 3.21
4 Ag 0.5000 0.5000 0.2710  4 Y 3.11, 4 Pm 3.29

Properties
uncorrected energy: -19.2 eV/cell
E_form: -34.1 kJ/mol of atoms
density of states at the Fermi level: 0.8571 states/eV per atom
relative energy among the computed polymorphs: 0 meV/atom

=====

No. 11
## PmYAlAg (PBE-GGA)

Data for an optimized crystal structure of PmYAlAg.

a b c (Å): 5.2298 5.2298 5.2298
angles (deg): 60.00 60.00 60.00
Last column: nearest neighbours and their distance in Å.
Sites, in units of the cell vectors:
1 Pm 0.0000 0.0000 0.0000  4 Al 3.20, 4 Ag 3.20
2 Y 0.5000 0.5000 0.5000  4 Al 3.20, 4 Ag 3.20
3 Al 0.7500 0.7500 0.7500  4 Y 3.20, 4 Pm 3.20
4 Ag 0.2500 0.2500 0.2500  4 Y 3.20, 4 Pm 3.20

Properties
uncorrected energy: -19.1 eV/cell
E_form: -31.8 kJ/mol of atoms
density of states at the Fermi level: 1.0326 states/eV per atom
relative energy among the computed polymorphs: 23 meV/atom

=====

No. 12
## PmAlZn4Ag2 (PBE-GGA)

Data for an optimized crystal structure of PmAlZn4Ag2.

a b c (Å): 9.2704 9.2704 9.2704
angles (deg): 27.49 27.49 27.49
Last column: nearest neighbours and their distance in Å.
Sites, in units of the cell vectors:
1 Pm 0.0000 0.0000 0.0000  8 Zn 3.06-3.36
2 Al 0.5000 0.5000 0.5000  8 Zn 2.76-2.77
3 Zn 0.1256 0.1256 0.1256  3 Ag 2.70, 3 Al 2.77
4 Zn 0.3968 0.3968 0.3968  3 Ag 2.66, 1 Al 2.76
5 Zn 0.6032 0.6032 0.6032  3 Ag 2.66, 1 Al 2.76
6 Zn 0.8744 0.8744 0.8744  3 Ag 2.70, 3 Al 2.77
7 Ag 0.2413 0.2413 0.2413  6 Zn 2.66-2.70
8 Ag 0.7587 0.7587 0.7587  6 Zn 2.66-2.70

Properties
uncorrected energy: -20.3 eV/cell
E_form: -11.9 kJ/mol of atoms
density of states at the Fermi level: 0.3596 states/eV per atom